{
  "formula": "Pr2Y3Ru2",
  "functional": "PBE-GGA",
  "state": "optimized geometry",
  "lattice": [[6.138, -1.941, 0.000], [6.138, 1.941, 0.000], [-3.886, 0.000, 8.071]],
  "species": ["Pr", "Pr", "Y", "Y", "Y", "Ru", "Ru"],
  "fractional_positions": [[0.165, 0.165, 0.302], [0.835, 0.835, 0.698], [0.378, 0.378, 0.076], [0.500, 0.500, 0.500], [0.622, 0.622, 0.924], [0.178, 0.178, 0.733], [0.822, 0.822, 0.267]],
  "energy_ev_per_atom": -7.04,
  "dos_ef_per_ev_fu": 5.0,
  "delta_e_f_ev_per_fu": -1.806
}

=====

{
  "formula": "Cd2BPbC",
  "functional": "PBE-GGA",
  "state": "optimized geometry",
  "lattice": [[5.842, 0.000, 0.000], [0.000, 5.842, 0.000], [0.000, 0.000, 4.385]],
  "species": ["Cd", "Cd", "B", "Pb", "C"],
  "fractional_positions": [[0.000, 0.500, 0.000], [0.500, 0.000, 0.000], [0.000, 0.000, 0.500], [0.000, 0.000, 0.000], [0.500, 0.500, 0.500]],
  "energy_ev_per_atom": -1.94,
  "dos_ef_per_ev_fu": 2.2,
  "delta_e_f_ev_per_fu": 11.753
}

=====

{
  "formula": "CsCu2Te",
  "functional": "PBE-GGA",
  "state": "optimized geometry",
  "lattice": [[-2.722, 2.722, 9.002], [2.722, -2.722, 9.002], [2.722, 2.722, -9.002]],
  "species": ["Cs", "Cs", "Cu", "Cu", "Cu", "Cu", "Te", "Te"],
  "fractional_positions": [[0.375, 0.625, 0.750], [0.625, 0.375, 0.250], [0.000, 0.000, 0.000], [0.000, 0.000, 0.500], [0.000, 0.500, 0.000], [0.500, 0.000, 0.500], [0.125, 0.875, 0.250], [0.875, 0.125, 0.750]],
  "formation_energy_uncorrected_ev_per_atom": -0.0394,
  "energy_ev_per_atom": -3.09,
  "dos_ef_per_ev_fu": 2.0
}

=====

{
  "formula": "CrGeSe2",
  "functional": "PBE-GGA",
  "state": "optimized geometry",
  "lattice": [[1.742, 1.006, 8.513], [-1.742, 1.006, 8.513], [0.000, -2.011, 8.513]],
  "species": ["Cr", "Ge", "Se", "Se"],
  "fractional_positions": [[0.000, 0.000, 0.000], [0.500, 0.500, 0.500], [0.391, 0.391, 0.391], [0.609, 0.609, 0.609]],
  "formation_energy_uncorrected_ev_per_atom": -0.2006,
  "energy_ev_per_atom": -5.50,
  "dos_ef_per_ev_fu": 1.9
}

=====

{
  "formula": "CsCa3La",
  "functional": "PBE-GGA",
  "state": "optimized geometry",
  "lattice": [[6.724, 0.000, 0.000], [0.000, 6.724, 0.000], [0.000, 0.000, 6.724]],
  "species": ["Cs", "Ca", "Ca", "Ca", "La"],
  "fractional_positions": [[0.000, 0.000, 0.000], [0.000, 0.500, 0.500], [0.500, 0.000, 0.500], [0.500, 0.500, 0.000], [0.500, 0.500, 0.500]],
  "energy_ev_per_atom": -1.74,
  "dos_ef_per_ev_fu": 7.9,
  "relative_energy_mev_per_atom": 0,
  "delta_e_f_ev_per_fu": 3.108
}

=====

{
  "formula": "LaSbTe3",
  "functional": "PBE-GGA",
  "state": "optimized geometry",
  "lattice": [[5.690, 0.000, 0.000], [0.000, 5.690, 0.000], [0.000, 0.000, 5.690]],
  "species": ["La", "Sb", "Te", "Te", "Te"],
  "fractional_positions": [[0.000, 0.000, 0.000], [0.500, 0.500, 0.500], [0.000, 0.500, 0.500], [0.500, 0.000, 0.500], [0.500, 0.500, 0.000]],
  "formation_energy_uncorrected_ev_per_atom": -0.3076,
  "energy_ev_per_atom": -4.00,
  "dos_ef_per_ev_fu": 0.0,
  "relative_energy_mev_per_atom": 435
}

=====

{
  "formula": "Sr3CdBr6Cl2",
  "functional": "PBE-GGA",
  "state": "optimized geometry",
  "lattice": [[7.434, -4.370, 0.000], [7.434, 4.370, 0.000], [-0.443, 0.000, 6.603]],
  "species": ["Sr", "Sr", "Sr", "Cd", "Br", "Br", "Br", "Br", "Br", "Br", "Cl", "Cl"],
  "fractional_positions": [[0.000, 0.000, 0.000], [0.000, 0.500, 0.500], [0.500, 0.000, 0.500], [0.500, 0.500, 0.500], [0.179, 0.656, 0.252], [0.344, 0.821, 0.748], [0.353, 0.353, 0.739], [0.647, 0.647, 0.261], [0.656, 0.179, 0.252], [0.821, 0.344, 0.748], [0.167, 0.167, 0.261], [0.833, 0.833, 0.739]],
  "formation_energy_uncorrected_ev_per_atom": -1.8600,
  "energy_ev_per_atom": -3.50,
  "dos_ef_per_ev_fu": 0.0
}

=====

{
  "formula": "Pr3Ho5Er",
  "functional": "PBE-GGA",
  "state": "optimized geometry",
  "lattice": [[7.702, -5.656, 0.000], [7.702, 5.656, 0.000], [-6.542, 0.000, 7.645]],
  "species": ["Pr", "Pr", "Pr", "Pr", "Pr", "Pr", "Ho", "Ho", "Ho", "Ho", "Ho", "Ho", "Ho", "Ho", "Ho", "Ho", "Er", "Er"],
  "fractional_positions": [[0.000, 0.000, 0.000], [0.009, 0.009, 0.308], [0.475, 0.475, 0.136], [0.500, 0.500, 0.500], [0.525, 0.525, 0.864], [0.991, 0.991, 0.692], [0.088, 0.588, 0.745], [0.216, 0.216, 0.726], [0.242, 0.758, 0.500], [0.279, 0.279, 0.467], [0.412, 0.912, 0.255], [0.588, 0.088, 0.745], [0.721, 0.721, 0.533], [0.758, 0.242, 0.500], [0.784, 0.784, 0.274], [0.912, 0.412, 0.255], [0.253, 0.253, 0.104], [0.747, 0.747, 0.896]],
  "energy_ev_per_atom": -4.11,
  "dos_ef_per_ev_fu": 12.6,
  "delta_e_f_ev_per_fu": 4.766
}

=====

Repeat the seventh record exactly.
{
  "formula": "Sr3CdBr6Cl2",
  "functional": "PBE-GGA",
  "state": "optimized geometry",
  "lattice": [[7.434, -4.370, 0.000], [7.434, 4.370, 0.000], [-0.443, 0.000, 6.603]],
  "species": ["Sr", "Sr", "Sr", "Cd", "Br", "Br", "Br", "Br", "Br", "Br", "Cl", "Cl"],
  "fractional_positions": [[0.000, 0.000, 0.000], [0.000, 0.500, 0.500], [0.500, 0.000, 0.500], [0.500, 0.500, 0.500], [0.179, 0.656, 0.252], [0.344, 0.821, 0.748], [0.353, 0.353, 0.739], [0.647, 0.647, 0.261], [0.656, 0.179, 0.252], [0.821, 0.344, 0.748], [0.167, 0.167, 0.261], [0.833, 0.833, 0.739]],
  "formation_energy_uncorrected_ev_per_atom": -1.8600,
  "energy_ev_per_atom": -3.50,
  "dos_ef_per_ev_fu": 0.0
}